No. 1
Crystalline La2AlNiH at its relaxed geometry, computed with PBE-GGA.

abc: 5.275 5.275 3.673
angles: 90.00 90.00 90.00
Space group P4/mmm (No. 123)
Unique sites:
La1 0.000 0.500 0.000
Al1 0.000 0.000 0.500
Ni1 0.500 0.500 0.500
H1 0.500 0.500 0.000

Properties
- density (g/cm3) = 5.922
- VASP energy (eV for the cell shown) = -24.2

=====

No. 2
Crystalline Tb8SmSc3 at its relaxed geometry, computed with PBE-GGA.

abc: 6.038 7.802 8.559
angles: 111.39 90.08 104.91
Space group P1 (No. 1)
Unique sites:
Tb1 0.000 0.000 0.000
Tb2 0.077 0.750 0.581
Tb3 0.161 0.493 0.162
Tb4 0.410 0.747 0.918
Tb5 0.491 0.487 0.496
Tb6 0.744 0.744 0.248
Tb7 0.824 0.492 0.833
Tb8 0.910 0.241 0.413
Sm1 0.656 0.001 0.668
Sc1 0.245 0.245 0.748
Sc2 0.328 0.997 0.331
Sc3 0.573 0.244 0.083

Properties
- density (g/cm3) = 7.165
- ΔE_f (kcal/mol of atoms) = 0.979